[1]
First-principles (PBE-GGA) data for a relaxed LuAlNi crystal, as listed in the Alexandria database.

Cell lengths 4.2353, 4.2353, 3.5256 Å; angles 90.00, 90.00, 120.00 degrees
Space group P-6m2 (No. 187)
One atom of each set of equivalent atoms:
Lu 0.0000 0.0000 0.0000 [1 per cell]
Al 0.3333 0.6667 0.5000 [1 per cell]
Ni 0.6667 0.3333 0.5000 [1 per cell]

Results
- Calculated volume: 54.77 Å³/cell
- Formation enthalpy at 0 K: -499.7 meV/atom


[2]
First-principles (PBE-GGA) data for a relaxed Mg6AlCu crystal, as listed in the Alexandria database.

Cell lengths 4.957, 6.239, 10.319 Å; angles 90.00, 90.00, 90.00 degrees
Space group Amm2 (No. 38)
One atom of each set of equivalent atoms:
Mg 0.000 0.000 0.000 [2 per cell]
Mg 0.000 0.240 0.745 [4 per cell]
Mg 0.500 0.000 0.174 [2 per cell]
Mg 0.500 0.246 0.427 [4 per cell]
Al 0.000 0.000 0.500 [2 per cell]
Cu 0.500 0.000 0.668 [2 per cell]

Results
- Calculated volume: 319.14 Å³/cell
- Formation enthalpy at 0 K: 28.3 meV/atom


[3]
First-principles (PBE-GGA) data for a relaxed ZrFe4Cu crystal, as listed in the Alexandria database.

Cell lengths 6.803, 6.803, 6.803 Å; angles 90.00, 90.00, 90.00 degrees
Space group F-43m (No. 216)
One atom of each set of equivalent atoms:
Zr 0.000 0.000 0.000 [4 per cell]
Fe 0.124 0.124 0.376 [16 per cell]
Cu 0.250 0.250 0.750 [4 per cell]

Results
- Calculated volume: 314.91 Å³/cell
- Formation enthalpy at 0 K: -75.8 meV/atom


[4]
First-principles (PBE-GGA) data for a relaxed ScInCuRu crystal, as listed in the Alexandria database.

Cell lengths 6.460, 6.460, 6.460 Å; angles 90.00, 90.00, 90.00 degrees
Space group F-43m (No. 216)
One atom of each set of equivalent atoms:
Sc 0.000 0.000 0.000 [4 per cell]
In 0.000 0.000 0.500 [4 per cell]
Cu 0.250 0.250 0.250 [4 per cell]
Ru 0.250 0.250 0.750 [4 per cell]

Results
- Calculated volume: 269.61 Å³/cell
- Formation enthalpy at 0 K: -255.8 meV/atom


Respective total moment values: 0.000, 0.000, 1.081, 0.000 μB per atom.